Entry 1:
Here is crystalline GaGeC2 at its relaxed geometry from Alexandria via LeMat-Bulk. Energies are from PBEsol.

Results
- DOS at the Fermi energy (states/eV/atom) = 0.479
- DFT total energy (hartree per atom) = -0.18095
- size of the total moment (μB/atom) = 0.00
- ΔE_f (eV/atom) = 1.968

Lattice parameters (Å, degrees): 3.9610 3.9610 3.9610 60.00 60.00 60.00
Last column: nearest neighbours and their distance in Å.
Element x y z (fractional)
Ga 0.0000 0.0000 0.0000  8 C 2.43
Ge 0.5000 0.5000 0.5000  8 C 2.43
C 0.2500 0.2500 0.2500  4 Ge 2.43, 4 Ga 2.43
C 0.7500 0.7500 0.7500  4 Ge 2.43, 4 Ga 2.43

Entry 2:
Here is crystalline BaBe3Cr at its relaxed geometry from Alexandria via LeMat-Bulk. Energies are from PBEsol.

Results
- DOS at the Fermi energy (states/eV/atom) = 0.875
- DFT total energy (hartree per atom) = -0.14740
- size of the total moment (μB/atom) = 0.66
- ΔE_f (eV/atom) = 0.867

Lattice parameters (Å, degrees): 4.5892 4.5892 4.5892 90.00 90.00 90.00
Last column: nearest neighbours and their distance in Å.
Element x y z (fractional)
Ba 0.0000 0.0000 0.0000  12 Be 3.25
Be 0.0000 0.5000 0.5000  2 Cr 2.29
Be 0.5000 0.0000 0.5000  2 Cr 2.29
Be 0.5000 0.5000 0.0000  2 Cr 2.29
Cr 0.5000 0.5000 0.5000  6 Be 2.29

Entry 3:
Here is crystalline CuRe2H at its relaxed geometry from Alexandria via LeMat-Bulk. Energies are from PBEsol.

Results
- DOS at the Fermi energy (states/eV/atom) = 1.037
- DFT total energy (hartree per atom) = -0.27838
- size of the total moment (μB/atom) = 0.00

Lattice parameters (Å, degrees): 4.0138 4.0138 4.0138 60.00 60.00 60.00
Last column: nearest neighbours and their distance in Å.
Element x y z (fractional)
Cu 0.0000 0.0000 0.0000  8 Re 2.46
Re 0.2500 0.2500 0.2500  4 H 2.46, 4 Cu 2.46
Re 0.7500 0.7500 0.7500  4 H 2.46, 4 Cu 2.46
H 0.5000 0.5000 0.5000  8 Re 2.46

Entry 4:
Here is crystalline K2CaAl at its relaxed geometry from Alexandria via LeMat-Bulk. Energies are from PBEsol.

Results
- DOS at the Fermi energy (states/eV/atom) = 0.828
- DFT total energy (hartree per atom) = -0.06811
- size of the total moment (μB/atom) = 0.26
- ΔE_f (eV/atom) = 0.269

Lattice parameters (Å, degrees): 5.9059 5.9059 5.9059 60.00 60.00 60.00
Last column: nearest neighbours and their distance in Å.
Element x y z (fractional)
K 0.0000 0.0000 0.0000  4 Al 3.62, 4 K 3.62
K 0.2500 0.2500 0.2500  4 K 3.62, 4 Ca 3.62
Ca 0.5000 0.5000 0.5000  4 Al 3.62, 4 K 3.62
Al 0.7500 0.7500 0.7500  4 Ca 3.62, 4 K 3.62

Entry 5:
Here is crystalline LiMnSiP2 at its relaxed geometry from Alexandria via LeMat-Bulk. Energies are from PBEsol.

Results
- DOS at the Fermi energy (states/eV/atom) = 0.579
- DFT total energy (hartree per atom) = -0.18712
- energy relative to the elements, uncorrected (eV per atom) = 0.72
- size of the total moment (μB/atom) = 0.88

Lattice parameters (Å, degrees): 4.5308 4.5308 4.3216 90.00 90.00 90.00
Last column: nearest neighbours and their distance in Å.
Element x y z (fractional)
Li 0.0000 0.0000 0.0000  2 Si 2.16
Mn 0.5000 0.5000 0.0000  8 P 3.13, 4 Li 3.20
Si 0.0000 0.0000 0.5000  2 Li 2.16, 4 P 2.27
P 0.0000 0.5000 0.5000  2 Si 2.27
P 0.5000 0.0000 0.5000  2 Si 2.27

Entry 6:
Here is crystalline ScMn2Fe at its relaxed geometry from Alexandria via LeMat-Bulk. Energies are from PBEsol.

Results
- DOS at the Fermi energy (states/eV/atom) = 1.827
- DFT total energy (hartree per atom) = -0.31189
- ΔE to the lowest computed polymorph (meV/atom) = 69
- size of the total moment (μB/atom) = 0.60
- ΔE_f (eV/atom) = 0.286

Lattice parameters (Å, degrees): 4.0981 4.0981 4.0981 60.00 60.00 60.00
Last column: nearest neighbours and their distance in Å.
Element x y z (fractional)
Sc 0.0000 0.0000 0.0000  8 Mn 2.51
Mn 0.2500 0.2500 0.2500  4 Fe 2.51, 4 Sc 2.51
Mn 0.7500 0.7500 0.7500  4 Fe 2.51, 4 Sc 2.51
Fe 0.5000 0.5000 0.5000  8 Mn 2.51

Entry 7:
Here is crystalline CaMnCr2 at its relaxed geometry from Alexandria via LeMat-Bulk. Energies are from PBEsol.

Results
- DOS at the Fermi energy (states/eV/atom) = 1.212
- DFT total energy (hartree per atom) = -0.27392
- size of the total moment (μB/atom) = 0.00
- ΔE_f (eV/atom) = 0.641

Lattice parameters (Å, degrees): 2.7641 3.6453 6.3512 90.00 100.85 90.00
Last column: nearest neighbours and their distance in Å.
Element x y z (fractional)
Ca 0.0000 0.0000 0.0000  2 Ca 2.76, 2 Mn 3.05, 2 Cr 3.07
Mn 0.4224 0.5000 0.6577  3 Cr 2.06-2.28
Cr 0.5659 0.5000 0.3509  1 Mn 2.06, 2 Cr 2.29
Cr 0.9902 0.0000 0.5086  2 Mn 2.28, 2 Cr 2.29

Entry 8:
Here is crystalline K2SrTe at its relaxed geometry from Alexandria via LeMat-Bulk. Energies are from PBEsol.

Results
- DOS at the Fermi energy (states/eV/atom) = 0.541
- DFT total energy (hartree per atom) = -0.08959
- energy relative to the elements, uncorrected (eV per atom) = -0.53
- size of the total moment (μB/atom) = 0.00

Lattice parameters (Å, degrees): 8.9440 8.9440 8.9440 97.32 97.32 138.18
Last column: nearest neighbours and their distance in Å.
Element x y z (fractional)
K 0.0089 0.6250 0.8839  2 Te 3.44
K 0.3750 0.2589 0.3839  2 Te 3.44
K 0.7411 0.1250 0.1161  2 Te 3.44
K 0.8750 0.9911 0.6161  2 Te 3.44
Sr 0.2500 0.7500 0.5000  2 Te 3.19
Sr 0.5000 0.5000 0.0000  2 Te 3.19
Te 0.0000 0.0000 0.0000  2 Sr 3.19, 4 K 3.44
Te 0.7500 0.2500 0.5000  2 Sr 3.19, 4 K 3.44

Entry 9:
Here is crystalline K2YHg at its relaxed geometry from Alexandria via LeMat-Bulk. Energies are from PBEsol.

Results
- DOS at the Fermi energy (states/eV/atom) = 1.141
- DFT total energy (hartree per atom) = -0.07737
- size of the total moment (μB/atom) = 0.24
- ΔE_f (eV/atom) = 0.309

Lattice parameters (Å, degrees): 3.6945 5.8425 6.7237 90.00 90.00 90.00
Last column: nearest neighbours and their distance in Å.
Element x y z (fractional)
K 0.0000 0.0000 0.2316  1 K 3.11
K 0.0000 0.0000 0.7684  1 K 3.11
Y 0.5000 0.5000 0.5000  2 Hg 3.36, 2 Y 3.69
Hg 0.5000 0.5000 0.0000  2 Y 3.36, 2 Hg 3.69

Entry 10:
Here is crystalline Sm5Rh4 at its relaxed geometry from Alexandria via LeMat-Bulk. Energies are from PBEsol.

Results
- DOS at the Fermi energy (states/eV/atom) = 0.430
- DFT total energy (hartree per atom) = -0.26095
- size of the total moment (μB/atom) = 0.00
- ΔE_f (eV/atom) = -0.655

Lattice parameters (Å, degrees): 7.3306 14.5410 7.4898 90.00 90.00 90.00
Last column: nearest neighbours and their distance in Å.
Element x y z (fractional)
Sm 0.0074 0.0919 0.1797  5 Rh 2.90-3.13
Sm 0.0074 0.4081 0.1797  5 Rh 2.90-3.13
Sm 0.1598 0.1224 0.6677  6 Rh 2.79-3.01
Sm 0.1598 0.3776 0.6677  6 Rh 2.79-3.01
Sm 0.1775 0.7500 0.5112  3 Rh 2.72-2.90
Sm 0.3225 0.2500 0.0112  3 Rh 2.72-2.90
Sm 0.3402 0.6224 0.1677  6 Rh 2.79-3.01
Sm 0.3402 0.8776 0.1677  6 Rh 2.79-3.01
Sm 0.4926 0.5919 0.6797  5 Rh 2.90-3.13
Sm 0.4926 0.9081 0.6797  5 Rh 2.90-3.13
Sm 0.5074 0.0919 0.3203  5 Rh 2.90-3.13
Sm 0.5074 0.4081 0.3203  5 Rh 2.90-3.13
Sm 0.6598 0.1224 0.8323  6 Rh 2.79-3.01
Sm 0.6598 0.3776 0.8323  6 Rh 2.79-3.01
Sm 0.6775 0.7500 0.9888  3 Rh 2.72-2.90
Sm 0.8225 0.2500 0.4888  3 Rh 2.72-2.90
Sm 0.8402 0.6224 0.3323  6 Rh 2.79-3.01
Sm 0.8402 0.8776 0.3323  6 Rh 2.79-3.01
Sm 0.9926 0.5919 0.8203  5 Rh 2.90-3.13
Sm 0.9926 0.9081 0.8203  5 Rh 2.90-3.13
Rh 0.0444 0.7500 0.0975  1 Rh 2.66, 5 Sm 2.81-2.96
Rh 0.1797 0.5390 0.4660  6 Sm 2.79-3.09, 1 Rh 2.91
Rh 0.1797 0.9610 0.4660  6 Sm 2.79-3.09, 1 Rh 2.91
Rh 0.1928 0.2500 0.3521  1 Rh 2.66, 4 Sm 2.72-2.97
Rh 0.3072 0.7500 0.8521  1 Rh 2.66, 4 Sm 2.72-2.97
Rh 0.3203 0.0390 0.9660  6 Sm 2.79-3.09, 1 Rh 2.91
Rh 0.3203 0.4610 0.9660  6 Sm 2.79-3.09, 1 Rh 2.91
Rh 0.4556 0.2500 0.5975  1 Rh 2.66, 5 Sm 2.81-2.96
Rh 0.5444 0.7500 0.4025  1 Rh 2.66, 5 Sm 2.81-2.96
Rh 0.6797 0.5390 0.0340  6 Sm 2.79-3.09, 1 Rh 2.91
Rh 0.6797 0.9610 0.0340  6 Sm 2.79-3.09, 1 Rh 2.91
Rh 0.6928 0.2500 0.1479  1 Rh 2.66, 4 Sm 2.72-2.97
Rh 0.8072 0.7500 0.6479  1 Rh 2.66, 4 Sm 2.72-2.97
Rh 0.8203 0.0390 0.5340  6 Sm 2.79-3.09, 1 Rh 2.91
Rh 0.8203 0.4610 0.5340  6 Sm 2.79-3.09, 1 Rh 2.91
Rh 0.9556 0.2500 0.9025  1 Rh 2.66, 5 Sm 2.81-2.96

Entry 11:
Here is crystalline Na2GeTeO6 at its relaxed geometry from Alexandria via LeMat-Bulk. Energies are from PBEsol.

Results
- DOS at the Fermi energy (states/eV/atom) = 0.000
- DFT total energy (hartree per atom) = -0.21494
- energy relative to the elements, uncorrected (eV per atom) = -1.57
- size of the total moment (μB/atom) = 0.00

Lattice parameters (Å, degrees): 6.1004 6.1004 6.1004 49.75 49.75 49.75
Last column: nearest neighbours and their distance in Å.
Element x y z (fractional)
Na 0.0000 0.0000 0.0000  6 O 2.28-2.55
Na 0.2810 0.2810 0.2810  6 O 2.30-2.51
Ge 0.4780 0.4780 0.4780  6 O 1.90-1.95
Te 0.8020 0.8020 0.8020  6 O 1.94-1.96
O 0.0827 0.4500 0.6800  1 Te 1.94, 1 Ge 1.95
O 0.2046 0.8236 0.5963  1 Ge 1.90, 1 Te 1.96
O 0.4500 0.6800 0.0827  1 Te 1.94, 1 Ge 1.95
O 0.5963 0.2046 0.8236  1 Ge 1.90, 1 Te 1.96
O 0.6800 0.0827 0.4500  1 Te 1.94, 1 Ge 1.95
O 0.8236 0.5963 0.2046  1 Ge 1.90, 1 Te 1.96

Entry 12:
Here is crystalline BaTe2NCl at its relaxed geometry from Alexandria via LeMat-Bulk. Energies are from PBEsol.

Results
- DOS at the Fermi energy (states/eV/atom) = 0.505
- DFT total energy (hartree per atom) = -0.12989
- energy relative to the elements, uncorrected (eV per atom) = 0.41
- size of the total moment (μB/atom) = 0.37

Lattice parameters (Å, degrees): 5.5354 5.5354 4.4999 90.00 90.00 90.00
Last column: nearest neighbours and their distance in Å.
Element x y z (fractional)
Ba 0.0000 0.0000 0.0000  8 Te 3.57, 4 N 3.91
Te 0.0000 0.5000 0.5000  2 Cl 2.77
Te 0.5000 0.0000 0.5000  2 Cl 2.77
N 0.5000 0.5000 0.0000  2 Cl 2.25
Cl 0.5000 0.5000 0.5000  2 N 2.25

- Which value of DOS at the Fermi energy does entry 11 give?
  0.000 states/eV/atom

- Which of these has the highest size of the total moment?
  LiMnSiP2